# YCrCl4 | Alexandria | PBE-GGA | relaxed
data_YCrCl4
_chemical_formula_sum 'Y4 Cr4 Cl16'
_symmetry_space_group_name_H-M 'F -4 3 m'
_symmetry_Int_Tables_number 216
_symmetry_space_group_name_Hall 'F -4 2 3'
_cell_length_a 8.268
_cell_length_b 8.268
_cell_length_c 8.268
_cell_angle_alpha 90.00
_cell_angle_beta 90.00
_cell_angle_gamma 90.00
loop_
_atom_site_label
_atom_site_type_symbol
_atom_site_fract_x
_atom_site_fract_y
_atom_site_fract_z
Y1 Y 0.000 0.000 0.000
Cr1 Cr 0.250 0.250 0.250
Cl1 Cl 0.125 0.125 0.625
# Volume in Å³/atom: 23.6
# Magnetic moment in μB per atom: 1.108
# Formation energy (no corrections) in eV/atom: 0.0297

# YCr3Cl | Alexandria | PBE-GGA | relaxed
data_YCr3Cl
_chemical_formula_sum 'Y1 Cr3 Cl1'
_symmetry_space_group_name_H-M 'P m -3 m'
_symmetry_Int_Tables_number 221
_symmetry_space_group_name_Hall '-P 4 2 3'
_cell_length_a 4.311
_cell_length_b 4.311
_cell_length_c 4.311
_cell_angle_alpha 90.00
_cell_angle_beta 90.00
_cell_angle_gamma 90.00
loop_
_atom_site_label
_atom_site_type_symbol
_atom_site_fract_x
_atom_site_fract_y
_atom_site_fract_z
Y1 Y 0.000 0.000 0.000
Cr1 Cr 0.000 0.500 0.500
Cl1 Cl 0.500 0.500 0.500
# Volume in Å³/atom: 16.0
# Magnetic moment in μB per atom: 0.569
# E above lowest polymorph in eV per atom: 0.000
# Formation energy (no corrections) in eV/atom: 0.6578

# YCrCl6 | Alexandria | PBE-GGA | relaxed
data_YCrCl6
_chemical_formula_sum 'Y3 Cr3 Cl18'
_symmetry_space_group_name_H-M 'R -3'
_symmetry_Int_Tables_number 148
_symmetry_space_group_name_Hall '-R 3'
_cell_length_a 6.3672
_cell_length_b 6.3672
_cell_length_c 17.2355
_cell_angle_alpha 90.00
_cell_angle_beta 90.00
_cell_angle_gamma 120.00
loop_
_atom_site_label
_atom_site_type_symbol
_atom_site_fract_x
_atom_site_fract_y
_atom_site_fract_z
Y1 Y 0.0000 0.0000 0.0000
Cr1 Cr 0.0000 0.0000 0.5000
Cl1 Cl 0.0045 0.3074 0.5787
# Volume in Å³/atom: 25.2
# Magnetic moment in μB per atom: 0.375
# Formation energy (no corrections) in eV/atom: -1.6028

# YCrCl | Alexandria | PBE-GGA | relaxed
data_YCrCl
_chemical_formula_sum 'Y4 Cr4 Cl4'
_symmetry_space_group_name_H-M 'F -4 3 m'
_symmetry_Int_Tables_number 216
_symmetry_space_group_name_Hall 'F -4 2 3'
_cell_length_a 6.542
_cell_length_b 6.542
_cell_length_c 6.542
_cell_angle_alpha 90.00
_cell_angle_beta 90.00
_cell_angle_gamma 90.00
loop_
_atom_site_label
_atom_site_type_symbol
_atom_site_fract_x
_atom_site_fract_y
_atom_site_fract_z
Y1 Y 0.000 0.000 0.000
Cr1 Cr 0.000 0.000 0.500
Cl1 Cl 0.250 0.250 0.750
# Volume in Å³/atom: 23.3
# Magnetic moment in μB per atom: 1.349
# Formation energy (no corrections) in eV/atom: 0.1650

# YCr3Cl | Alexandria | PBE-GGA | relaxed
data_YCr3Cl
_chemical_formula_sum 'Y1 Cr3 Cl1'
_symmetry_space_group_name_H-M 'P m -3 m'
_symmetry_Int_Tables_number 221
_symmetry_space_group_name_Hall '-P 4 2 3'
_cell_length_a 5.373
_cell_length_b 5.373
_cell_length_c 5.373
_cell_angle_alpha 90.00
_cell_angle_beta 90.00
_cell_angle_gamma 90.00
loop_
_atom_site_label
_atom_site_type_symbol
_atom_site_fract_x
_atom_site_fract_y
_atom_site_fract_z
Y1 Y 0.000 0.000 0.000
Cr1 Cr 0.000 0.000 0.500
Cl1 Cl 0.500 0.500 0.500
# Volume in Å³/atom: 31.0
# Magnetic moment in μB per atom: 2.693
# E above lowest polymorph in eV per atom: 1.262
# Formation energy (no corrections) in eV/atom: 1.9197

# Y3CrCl | Alexandria | PBE-GGA | relaxed
data_Y3CrCl
_chemical_formula_sum 'Y3 Cr1 Cl1'
_symmetry_space_group_name_H-M 'P m -3 m'
_symmetry_Int_Tables_number 221
_symmetry_space_group_name_Hall '-P 4 2 3'
_cell_length_a 5.153
_cell_length_b 5.153
_cell_length_c 5.153
_cell_angle_alpha 90.00
_cell_angle_beta 90.00
_cell_angle_gamma 90.00
loop_
_atom_site_label
_atom_site_type_symbol
_atom_site_fract_x
_atom_site_fract_y
_atom_site_fract_z
Y1 Y 0.000 0.000 0.500
Cr1 Cr 0.500 0.500 0.500
Cl1 Cl 0.000 0.000 0.000
# Volume in Å³/atom: 27.4
# Magnetic moment in μB per atom: 0.848
# E above lowest polymorph in eV per atom: 0.000
# Formation energy (no corrections) in eV/atom: -0.0875

# YCrCl | Alexandria | PBE-GGA | relaxed
data_YCrCl
_chemical_formula_sum 'Y2 Cr2 Cl2'
_symmetry_space_group_name_H-M 'I 4 m m'
_symmetry_Int_Tables_number 107
_symmetry_space_group_name_Hall 'I 4 -2'
_cell_length_a 3.392
_cell_length_b 3.392
_cell_length_c 13.490
_cell_angle_alpha 90.00
_cell_angle_beta 90.00
_cell_angle_gamma 90.00
loop_
_atom_site_label
_atom_site_type_symbol
_atom_site_fract_x
_atom_site_fract_y
_atom_site_fract_z
Y1 Y 0.000 0.000 0.000
Cr1 Cr 0.000 0.000 0.647
Cl1 Cl 0.000 0.000 0.375
# Volume in Å³/atom: 25.9
# Magnetic moment in μB per atom: 1.283
# Formation energy (no corrections) in eV/atom: -0.2420

# YCrCl | Alexandria | PBE-GGA | relaxed
data_YCrCl
_chemical_formula_sum 'Y1 Cr1 Cl1'
_symmetry_space_group_name_H-M 'P 3 m 1'
_symmetry_Int_Tables_number 156
_cell_length_a 3.5733
_cell_length_b 3.5733
_cell_length_c 6.8522
_cell_angle_alpha 90.00
_cell_angle_beta 90.00
_cell_angle_gamma 120.00
loop_
_symmetry_equiv_pos_as_xyz
'x,y,z'
'-y,x-y,z'
'-x+y,-x,z'
'-y,-x,z'
'-x+y,y,z'
'x,x-y,z'
loop_
_atom_site_label
_atom_site_type_symbol
_atom_site_fract_x
_atom_site_fract_y
_atom_site_fract_z
Y1 Y 0.0000 0.0000 0.0000
Cr1 Cr 0.3333 0.6667 0.6762
Cl1 Cl 0.6667 0.3333 0.2766
# Volume in Å³/atom: 25.3
# Magnetic moment in μB per atom: 1.316
# Formation energy (no corrections) in eV/atom: -0.3084

# ZnCrCl4 | Alexandria | PBE-GGA | relaxed
data_ZnCrCl4
_chemical_formula_sum 'Zn1 Cr1 Cl4'
_symmetry_space_group_name_H-M 'P 1 2/m 1'
_symmetry_Int_Tables_number 10
_cell_length_a 6.188
_cell_length_b 3.710
_cell_length_c 6.413
_cell_angle_alpha 90.00
_cell_angle_beta 92.28
_cell_angle_gamma 90.00
loop_
_symmetry_equiv_pos_as_xyz
'x,y,z'
'-x,-y,-z'
'-x,y,-z'
'x,-y,z'
loop_
_atom_site_label
_atom_site_type_symbol
_atom_site_fract_x
_atom_site_fract_y
_atom_site_fract_z
Zn1 Zn 0.000 0.000 0.000
Cr1 Cr 0.500 0.500 0.000
Cl1 Cl 0.168 0.500 0.788
Cl2 Cl 0.329 0.000 0.214
# Volume in Å³/atom: 24.5
# Magnetic moment in μB per atom: 0.667
# E above lowest polymorph in eV per atom: 0.000
# Formation energy (no corrections) in eV/atom: -0.9800

# ZnCrCl | Alexandria | PBE-GGA | relaxed
data_ZnCrCl
_chemical_formula_sum 'Zn4 Cr4 Cl4'
_symmetry_space_group_name_H-M 'F m m 2'
_symmetry_Int_Tables_number 42
_symmetry_space_group_name_Hall 'F 2 -2'
_cell_length_a 4.479
_cell_length_b 4.500
_cell_length_c 11.696
_cell_angle_alpha 90.00
_cell_angle_beta 90.00
_cell_angle_gamma 90.00
loop_
_atom_site_label
_atom_site_type_symbol
_atom_site_fract_x
_atom_site_fract_y
_atom_site_fract_z
Zn1 Zn 0.000 0.000 0.000
Cr1 Cr 0.000 0.000 0.367
Cl1 Cl 0.000 0.000 0.737
# Volume in Å³/atom: 19.6
# Magnetic moment in μB per atom: 1.382
# E above lowest polymorph in eV per atom: 0.000
# Formation energy (no corrections) in eV/atom: 0.0557

# ZnCrCl | Alexandria | PBE-GGA | relaxed
data_ZnCrCl
_chemical_formula_sum 'Zn1 Cr1 Cl1'
_symmetry_space_group_name_H-M 'P -6 m 2'
_symmetry_Int_Tables_number 187
_symmetry_space_group_name_Hall 'P -6 2'
_cell_length_a 4.4408
_cell_length_b 4.4408
_cell_length_c 3.4764
_cell_angle_alpha 90.00
_cell_angle_beta 90.00
_cell_angle_gamma 120.00
loop_
_atom_site_label
_atom_site_type_symbol
_atom_site_fract_x
_atom_site_fract_y
_atom_site_fract_z
Zn1 Zn 0.0000 0.0000 0.0000
Cr1 Cr 0.6667 0.3333 0.5000
Cl1 Cl 0.3333 0.6667 0.5000
# Volume in Å³/atom: 19.8
# Magnetic moment in μB per atom: 1.566
# E above lowest polymorph in eV per atom: 0.179
# Formation energy (no corrections) in eV/atom: 0.2341

# ZnCr4Cl | Alexandria | PBE-GGA | relaxed
data_ZnCr4Cl
_chemical_formula_sum 'Zn4 Cr16 Cl4'
_symmetry_space_group_name_H-M 'F -4 3 m'
_symmetry_Int_Tables_number 216
_symmetry_space_group_name_Hall 'F -4 2 3'
_cell_length_a 6.881
_cell_length_b 6.881
_cell_length_c 6.881
_cell_angle_alpha 90.00
_cell_angle_beta 90.00
_cell_angle_gamma 90.00
loop_
_atom_site_label
_atom_site_type_symbol
_atom_site_fract_x
_atom_site_fract_y
_atom_site_fract_z
Zn1 Zn 0.000 0.000 0.000
Cr1 Cr 0.122 0.122 0.378
Cl1 Cl 0.250 0.250 0.750
# Volume in Å³/atom: 13.6
# Magnetic moment in μB per atom: 0.000
# Formation energy (no corrections) in eV/atom: 0.8094

Which of these has the lowest formation energy (no corrections)?
YCrCl6